# 1
# Pd4Pt5Rh2 GGA-PBE relaxed
data_Pd4Pt5Rh2
_cell_length_a 3.922
_cell_length_b 10.070
_cell_length_c 4.820
_cell_angle_alpha 76.11
_cell_angle_beta 114.01
_cell_angle_gamma 90.00
_space_group_name_H-M_alt 'P 1'
_space_group_IT_number 1
loop_
_space_group_symop_operation_xyz
'x,y,z'
loop_
_atom_site_label
_atom_site_fract_x
_atom_site_fract_y
_atom_site_fract_z
_atom_site_occupancy
Pt1 0.774 0.092 0.547 1
Pt2 0.136 0.544 0.271 1
Pt3 0.226 0.908 0.453 1
Pt4 0.500 0.000 0.000 1
Pt5 0.864 0.456 0.729 1
Rh1 0.410 0.632 0.820 1
Rh2 0.590 0.368 0.180 1
Pd1 0.048 0.185 0.095 1
Pd2 0.952 0.815 0.905 1
Pd3 0.319 0.274 0.638 1
Pd4 0.681 0.726 0.362 1
# - V: 15.25 A^3/atom
# - D(E_F): 22.63 states/eV per cell
# - Calculated formation energy: -0.003 eV/atom
# - Space group: C2/m, No. 12
# - Magnetization: 2.0 μB per cell

---

# 2
# SrYSc2 GGA-PBE relaxed
data_SrYSc2
_cell_length_a 6.666
_cell_length_b 6.666
_cell_length_c 6.666
_cell_angle_alpha 146.27
_cell_angle_beta 128.85
_cell_angle_gamma 62.68
_space_group_name_H-M_alt 'P 1'
_space_group_IT_number 1
loop_
_space_group_symop_operation_xyz
'x,y,z'
loop_
_atom_site_label
_atom_site_fract_x
_atom_site_fract_y
_atom_site_fract_z
_atom_site_occupancy
Sr1 0.750 0.250 0.500 1
Sc1 0.011 0.011 0.000 1
Sc2 0.489 0.489 0.000 1
Y1 0.250 0.750 0.500 1
# - V: 31.68 A^3/atom
# - D(E_F): 7.91 states/eV per cell
# - Calculated formation energy: 0.330 eV/atom
# - Energy relative to the lowest polymorph listed for this composition: 0.181 eV/atom
# - Space group: Immm, No. 71
# - Magnetization: 1.1 μB per cell

---

# 3
# La2NiPt GGA-PBE relaxed
data_La2NiPt
_cell_length_a 6.129
_cell_length_b 6.129
_cell_length_c 6.129
_cell_angle_alpha 140.30
_cell_angle_beta 140.30
_cell_angle_gamma 57.40
_space_group_name_H-M_alt 'P 1'
_space_group_IT_number 1
loop_
_space_group_symop_operation_xyz
'x,y,z'
loop_
_atom_site_label
_atom_site_fract_x
_atom_site_fract_y
_atom_site_fract_z
_atom_site_occupancy
La1 0.000 0.000 0.000 1
La2 0.250 0.750 0.500 1
Ni1 0.500 0.500 0.000 1
Pt1 0.750 0.250 0.500 1
# - V: 23.28 A^3/atom
# - D(E_F): 3.51 states/eV per cell
# - Calculated formation energy: -0.509 eV/atom
# - Space group: I-4m2, No. 119
# - Magnetization: 0.0 μB per cell

---

# 4
# Ac2NdSn3Ir4 GGA-PBE relaxed
data_Ac2NdSn3Ir4
_cell_length_a 4.517
_cell_length_b 4.517
_cell_length_c 11.759
_cell_angle_alpha 90.00
_cell_angle_beta 90.00
_cell_angle_gamma 90.00
_space_group_name_H-M_alt 'P 1'
_space_group_IT_number 1
loop_
_space_group_symop_operation_xyz
'x,y,z'
loop_
_atom_site_label
_atom_site_fract_x
_atom_site_fract_y
_atom_site_fract_z
_atom_site_occupancy
Ac1 0.500 0.000 0.235 1
Ac2 0.000 0.500 0.765 1
Ir1 0.000 0.500 0.348 1
Ir2 0.500 0.000 0.652 1
Ir3 0.500 0.500 0.000 1
Ir4 0.000 0.000 0.000 1
Sn1 0.000 0.000 0.500 1
Sn2 0.000 0.500 0.122 1
Sn3 0.500 0.000 0.878 1
Nd1 0.500 0.500 0.500 1
# - V: 23.99 A^3/atom
# - D(E_F): 6.34 states/eV per cell
# - Calculated formation energy: -0.604 eV/atom
# - Space group: P-4m2, No. 115
# - Magnetization: 0.0 μB per cell